Record 1
A plane-wave DFT calculation with PBE with a Hubbard U was carried out for crystalline AcPuVO6 at its relaxed geometry.

Structure (CIF):
```
data_AcPuVO6
_chemical_formula_sum 'Ac1 Pu1 V1 O6'
_space_group_name_H-M_alt 'P 3 1 2'
_space_group_IT_number 149
_cell_length_a 5.4550
_cell_length_b 5.4550
_cell_length_c 5.3232
_cell_angle_alpha 90.00
_cell_angle_beta 90.00
_cell_angle_gamma 120.00
loop_
_space_group_symop_operation_xyz
'x,y,z'
'-y,x-y,z'
'-x+y,-x,z'
'-y,-x,-z'
'-x+y,y,-z'
'x,x-y,-z'
loop_
_atom_site_label
_atom_site_fract_x
_atom_site_fract_y
_atom_site_fract_z
_atom_site_occupancy
Ac1 0.0000 0.0000 0.0000 1
Pu1 0.3333 0.6667 0.5000 1
V1 0.6667 0.3333 0.5000 1
O1 0.3813 0.0214 0.7086 1
```

Results
The calculation puts the electronic total energy at -8.92 eV/atom.

Record 2
A plane-wave DFT calculation with PBE with a Hubbard U was carried out for crystalline Ac2PuVO8 at its relaxed geometry.

Structure (CIF):
```
data_Ac2PuVO8
_chemical_formula_sum 'Ac2 Pu1 V1 O8'
_space_group_name_H-M_alt 'P -1'
_space_group_IT_number 2
_cell_length_a 4.359
_cell_length_b 5.541
_cell_length_c 8.043
_cell_angle_alpha 80.58
_cell_angle_beta 86.79
_cell_angle_gamma 80.83
loop_
_space_group_symop_operation_xyz
'x,y,z'
'-x,-y,-z'
loop_
_atom_site_label
_atom_site_fract_x
_atom_site_fract_y
_atom_site_fract_z
_atom_site_occupancy
Ac1 0.024 0.040 0.242 1
Pu1 0.500 0.500 0.500 1
V1 0.500 0.500 0.000 1
O1 0.093 0.716 0.520 1
O2 0.162 0.735 0.037 1
O3 0.421 0.224 0.674 1
O4 0.464 0.328 0.224 1
```

Results
The calculation puts the electronic total energy at -8.49 eV/atom.

Record 3
A plane-wave DFT calculation with PBE with a Hubbard U was carried out for crystalline AcPu2VO8 at its relaxed geometry.

Structure (CIF):
```
data_AcPu2VO8
_chemical_formula_sum 'Ac1 Pu2 V1 O8'
_space_group_name_H-M_alt 'P 1 2/m 1'
_space_group_IT_number 10
_cell_length_a 5.032
_cell_length_b 7.029
_cell_length_c 5.032
_cell_angle_alpha 90.00
_cell_angle_beta 92.44
_cell_angle_gamma 90.00
loop_
_space_group_symop_operation_xyz
'x,y,z'
'-x,-y,-z'
'-x,y,-z'
'x,-y,z'
loop_
_atom_site_label
_atom_site_fract_x
_atom_site_fract_y
_atom_site_fract_z
_atom_site_occupancy
Ac1 0.000 0.000 0.000 1
Pu1 0.500 0.264 0.500 1
V1 0.000 0.500 0.000 1
O1 0.204 0.289 0.201 1
O2 0.296 0.500 0.702 1
O3 0.329 0.000 0.667 1
```

Results
The calculation puts the electronic total energy at -9.37 eV/atom.

Record 4
A plane-wave DFT calculation with PBE with a Hubbard U was carried out for crystalline Ac2PuWO8 at its relaxed geometry.

Structure (CIF):
```
data_Ac2PuWO8
_chemical_formula_sum 'Ac4 Pu2 W2 O16'
_space_group_name_H-M_alt 'C 1 2/m 1'
_space_group_IT_number 12
_cell_length_a 7.321
_cell_length_b 7.600
_cell_length_c 7.186
_cell_angle_alpha 90.00
_cell_angle_beta 90.69
_cell_angle_gamma 90.00
loop_
_space_group_symop_operation_xyz
'x,y,z'
'-x,-y,-z'
'-x,y,-z'
'x,-y,z'
'x+1/2,y+1/2,z'
'-x+1/2,-y+1/2,-z'
'-x+1/2,y+1/2,-z'
'x+1/2,-y+1/2,z'
loop_
_atom_site_label
_atom_site_fract_x
_atom_site_fract_y
_atom_site_fract_z
_atom_site_occupancy
Ac1 0.028 0.000 0.260 1
Pu1 0.000 0.500 0.000 1
W1 0.000 0.500 0.500 1
O1 0.019 0.330 0.711 1
O2 0.219 0.000 0.983 1
O3 0.237 0.000 0.525 1
```

Results
The calculation puts the electronic total energy at -8.58 eV/atom.

Record 5
A plane-wave DFT calculation with PBE with a Hubbard U was carried out for crystalline AcPuWO6 at its relaxed geometry.

Structure (CIF):
```
data_AcPuWO6
_chemical_formula_sum 'Ac2 Pu2 W2 O12'
_space_group_name_H-M_alt 'P -3 1 c'
_space_group_IT_number 163
_space_group_name_Hall '-P 3 2c'
_cell_length_a 5.9139
_cell_length_b 5.9139
_cell_length_c 9.0641
_cell_angle_alpha 90.00
_cell_angle_beta 90.00
_cell_angle_gamma 120.00
loop_
_atom_site_label
_atom_site_fract_x
_atom_site_fract_y
_atom_site_fract_z
_atom_site_occupancy
Ac1 0.3333 0.6667 0.2500 1
Pu1 0.0000 0.0000 0.0000 1
W1 0.3333 0.6667 0.7500 1
O1 0.0688 0.3781 0.6289 1
```

Results
The calculation puts the electronic total energy at -8.79 eV/atom.

One value per record, in order, for D(E_F): 9.85; 5.51; 9.50; 4.84; 8.24 states/eV/f.u..